Model P:
# Zn5P3

A relaxed structure of Zn5P3 (PBE, the Alexandria database).

Its crystal system is hexagonal.

The structure belongs to space group P6_3/mcm (No. 193); the cell edges are 6.9529, 6.9529 and 7.1127 Å and the angles 90.00°, 90.00° and 120.00°. The asymmetric unit holds Zn at (0.0000, 0.3069, 0.2500), Zn at (0.3333, 0.6667, 0.0000) and P at (0.0000, 0.3541, 0.7500).

Model Q:
# Zn5P3

A relaxed structure of Zn5P3 (PBE, the Alexandria database).

Its crystal system is orthorhombic.

The structure belongs to space group Cmmm (No. 65); the cell edges are 6.4488, 11.0136 and 3.8115 Å and the angles 90.00°, 90.00° and 90.00°. The asymmetric unit holds Zn at (0.0000, 0.0000, 0.0000), Zn at (0.2241, 0.5000, 0.5000), Zn at (0.2500, 0.2500, 0.0000), P at (0.0000, 0.1700, 0.5000) and P at (0.0000, 0.5000, 0.0000).

Which of them is most stable, and which least? Most stable: model P; least stable: model Q.